a | Crystalline TaFe3P at its relaxed geometry. Source: the Alexandria database, functional GGA-PBE.

a b c (Å): 4.0472 4.0472 4.0472
angles (deg): 90.00 90.00 90.00
Last column: nearest neighbours and their distance in Å.
Space group Pm-3m (No. 221)
Symmetry-distinct sites (fractional):
Ta  0.0000  0.0000  0.0000 [1 per cell]  12 Fe 2.86
Fe  0.0000  0.5000  0.5000 [3 per cell]  2 P 2.02
P  0.5000  0.5000  0.5000 [1 per cell]  6 Fe 2.02

=====

b | Crystalline TaFe3P at its relaxed geometry. Source: the Alexandria database, functional GGA-PBE.

a b c (Å): 4.5331 4.5331 4.5331
angles (deg): 90.00 90.00 90.00
Last column: nearest neighbours and their distance in Å.
Space group Pm-3m (No. 221)
Symmetry-distinct sites (fractional):
Ta  0.0000  0.0000  0.0000 [1 per cell]  6 Fe 2.27
Fe  0.0000  0.0000  0.5000 [3 per cell]  2 Ta 2.27
P  0.5000  0.5000  0.5000 [1 per cell]  12 Fe 3.21

=====

What are the relative energies? In eV/atom: a 0.000; b 1.440.